The following is a DFT calculation (GGA-PBE) of a relaxed structure of CuHgAs4.

Structure (CIF):
```
data_CuHgAs4
_cell_length_a 7.908
_cell_length_b 7.908
_cell_length_c 7.908
_cell_angle_alpha 90.00
_cell_angle_beta 90.00
_cell_angle_gamma 90.00
_space_group_name_H-M_alt 'F -4 3 m'
_space_group_IT_number 216
_space_group_name_Hall 'F -4 2 3'
loop_
_atom_site_label
_atom_site_fract_x
_atom_site_fract_y
_atom_site_fract_z
Cu1 0.000 0.000 0.000
Hg1 0.250 0.250 0.750
As1 0.124 0.124 0.376
```

Output
Total magnetization in μB/f.u.: 0.0
ΔH_f (0 K) in eV/atom: 0.5264

---

The following is a DFT calculation (GGA-PBE) of a relaxed structure of Tb5Pm3Th2.

Structure (CIF):
```
data_Tb5Pm3Th2
_cell_length_a 10.837
_cell_length_b 17.405
_cell_length_c 8.949
_cell_angle_alpha 90.00
_cell_angle_beta 127.19
_cell_angle_gamma 90.00
_space_group_name_H-M_alt 'C 1 2/c 1'
_space_group_IT_number 15
loop_
_space_group_symop_operation_xyz
'x,y,z'
'-x,-y,-z'
'-x,y,-z+1/2'
'x,-y,z+1/2'
'x+1/2,y+1/2,z'
'-x+1/2,-y+1/2,-z'
'-x+1/2,y+1/2,-z+1/2'
'x+1/2,-y+1/2,z+1/2'
loop_
_atom_site_label
_atom_site_fract_x
_atom_site_fract_y
_atom_site_fract_z
Tb1 0.000 0.031 0.250
Tb2 0.000 0.280 0.750
Tb3 0.000 0.468 0.750
Tb4 0.250 0.118 0.751
Pm1 0.000 0.221 0.250
Pm2 0.144 0.124 0.037
Th1 0.137 0.378 0.523
```

Output
Total magnetization in μB/f.u.: 0.0
ΔH_f (0 K) in eV/atom: 0.2064

---

The following is a DFT calculation (GGA-PBE) of a relaxed structure of Ce8CdRh6.

Structure (CIF):
```
data_Ce8CdRh6
_cell_length_a 10.2888
_cell_length_b 10.2888
_cell_length_c 3.9130
_cell_angle_alpha 90.00
_cell_angle_beta 90.00
_cell_angle_gamma 120.00
_space_group_name_H-M_alt 'P -3'
_space_group_IT_number 147
loop_
_space_group_symop_operation_xyz
'x,y,z'
'-x,-y,-z'
'-y,x-y,z'
'y,-x+y,-z'
'-x+y,-x,z'
'x-y,x,-z'
loop_
_atom_site_label
_atom_site_fract_x
_atom_site_fract_y
_atom_site_fract_z
Ce1 0.0517 0.7336 0.2756
Ce2 0.3333 0.6667 0.7586
Cd1 0.0000 0.0000 0.0000
Rh1 0.0936 0.4727 0.2406
```

Output
Total magnetization in μB/f.u.: 2.9
ΔH_f (0 K) in eV/atom: -0.5349

---

| no. | raw total energy (eV/atom) |
| --- | --- |
| 1 | -3.306 |
| 2 | -5.018 |
| 3 | -6.701 |